## BaAlRh2 (PBE)

Data for crystalline BaAlRh2 at its relaxed geometry.

Properties
ΔE to the lowest computed polymorph ... 297.6 meV/atom
Energy of formation ... -0.1727 eV per atom
N(E_F) ... 18.5 states/eV per cell
Crystal system ... tetragonal
Spin magnetization ... 0.00 μB/cell

The structure in CIF format:
```
data_BaAlRh2
_chemical_formula_sum 'Ba4 Al4 Rh8'
_symmetry_space_group_name_H-M 'I -4 2 d'
_symmetry_Int_Tables_number 122
_symmetry_space_group_name_Hall 'I -4 2bw'
_cell_length_a 5.064
_cell_length_b 5.064
_cell_length_c 16.359
_cell_angle_alpha 90.00
_cell_angle_beta 90.00
_cell_angle_gamma 90.00
loop_
_atom_site_label
_atom_site_fract_x
_atom_site_fract_y
_atom_site_fract_z
_atom_site_occupancy
Ba1 0.000 0.000 0.000 1
Al1 0.000 0.000 0.500 1
Rh1 0.060 0.250 0.625 1
```